Zn3Ni2Pt2 | PBE-GGA | optimized geometry

## Properties
For the energy, the calculation gives -29.776 eV/cell. As for the formation energy: -330 meV per atom.

Cell lengths 3.875, 4.535, 7.188 Å; angles 84.20, 122.65, 115.38 degrees
Positions (direct):
Zn 0.000 0.000 0.000
Zn 0.282 0.163 0.701
Zn 0.718 0.837 0.299
Ni 0.570 0.278 0.431
Ni 0.430 0.722 0.569
Pt 0.861 0.410 0.155
Pt 0.139 0.590 0.845